Entry from Alexandria: a geometry-optimized ZnAu2Cl structure (PBE).

a b c (Å): 6.0607 6.0607 6.0607
angles (deg): 101.84 101.84 126.12
With the nearest neighbours (Å) after each atom.
Fractional positions:
Zn 0.0000 0.0000 0.0000  4 Au 2.64, 2 Cl 2.75
Zn 0.7500 0.2500 0.5000  4 Au 2.64, 2 Cl 2.75
Au 0.0957 0.6250 0.9707  2 Zn 2.64, 2 Au 2.78, 2 Cl 2.95
Au 0.3750 0.3457 0.4707  2 Zn 2.64, 2 Au 2.78, 2 Cl 2.95
Au 0.6543 0.1250 0.0293  2 Zn 2.64, 2 Au 2.78, 2 Cl 2.95
Au 0.8750 0.9043 0.5293  2 Zn 2.64, 2 Au 2.78, 2 Cl 2.95
Cl 0.2500 0.7500 0.5000  2 Zn 2.75, 4 Au 2.95
Cl 0.5000 0.5000 0.0000  2 Zn 2.75, 4 Au 2.95

Summary:
E_tot	-18.87	eV per cell
offset from the most stable computed form	354.6	meV per atom
crystal system	tetragonal
total magnetization	0.00	μB/f.u.
V	20.039	Å³ per atom
uncorrected formation energy	6	kJ/mol of atoms